HoLuMnAl after structural relaxation. Source: Alexandria, functional PBE.

Values from the calculation:
Formation energy from the elements = -9 kJ per mole of atoms
E_tot = -5.59 eV/atom
Magnetization = 13.35 Bohr magnetons per cell
Symmetry = F-43m

Unit cell a=7.083 b=7.083 c=7.083 alpha=90.00 beta=90.00 gamma=90.00
Positions (direct):
Ho  0.000  0.000  0.000
Ho  0.000  0.500  0.500
Ho  0.500  0.000  0.500
Ho  0.500  0.500  0.000
Lu  0.000  0.000  0.500
Lu  0.000  0.500  0.000
Lu  0.500  0.000  0.000
Lu  0.500  0.500  0.500
Mn  0.250  0.250  0.750
Mn  0.250  0.750  0.250
Mn  0.750  0.250  0.250
Mn  0.750  0.750  0.750
Al  0.250  0.250  0.250
Al  0.250  0.750  0.750
Al  0.750  0.250  0.750
Al  0.750  0.750  0.250